(1)
This record from Alexandria describes a crystal of MgMn2Si relaxed with PBEsol. The functional is meta-GGA SCAN.

Cell: 3.855 3.855 3.482 Å, 90.00 90.00 90.00°
Element x y z (fractional)
Mg (0.000, 0.000, 0.000)
Mn (0.000, 0.500, 0.500)
Mn (0.500, 0.000, 0.500)
Si (0.500, 0.500, 0.000)

Calculated values
As for the total moment: 5.506 μB per cell. Its uncorrected formation energy is -156 meV/atom.



(2)
This record from Alexandria describes a crystal of TcHgSe4 relaxed with PBEsol. The functional is meta-GGA SCAN.

Cell: 5.631 5.631 5.631 Å, 60.00 60.00 60.00°
Element x y z (fractional)
Tc (0.000, 0.000, 0.000)
Hg (0.750, 0.750, 0.750)
Se (0.375, 0.375, 0.375)
Se (0.375, 0.375, 0.876)
Se (0.375, 0.876, 0.375)
Se (0.876, 0.375, 0.375)

Calculated values
As for the total moment: 4.713 μB per cell. Its uncorrected formation energy is 933 meV/atom.



(3)
This record from Alexandria describes a crystal of KSrZn2 relaxed with PBEsol. The functional is meta-GGA SCAN.

Cell: 5.587 5.587 3.788 Å, 90.00 90.00 90.23°
Element x y z (fractional)
K (0.000, 0.000, 0.000)
Sr (0.500, 0.500, 0.000)
Zn (0.000, 0.500, 0.500)
Zn (0.500, 0.000, 0.500)

Calculated values
As for the total moment: 0.000 μB per cell. For the formation energy, the calculation gives 0.07 eV/atom.



(4)
This record from Alexandria describes a crystal of Mn2CoPb relaxed with PBEsol. The functional is meta-GGA SCAN.

Cell: 4.373 4.373 4.373 Å, 60.00 60.00 60.00°
Element x y z (fractional)
Mn (0.250, 0.250, 0.250)
Mn (0.750, 0.750, 0.750)
Co (0.000, 0.000, 0.000)
Pb (0.500, 0.500, 0.500)

Calculated values
The value obtained for the energy above the most stable polymorph in this dataset is 93 meV per atom. As for the total moment: 9.197 μB per cell. For the formation energy, the calculation gives 0.07 eV/atom.



| no. | uncorrected energy (eV per atom) |
| --- | --- |
| 1 | -13.0314 |
| 2 | -29.6570 |
| 3 | -14.3342 |
| 4 | -32.3241 |